<i>
First-principles (PBE) data for a relaxed structure of HgTeAs, as listed in Alexandria.

Calculated values
**V**: 32.01 A^3/atom
**Density of states at the Fermi level**: 0.4309 states/eV/atom

CIF file:
```
data_HgTeAs
_cell_length_a 3.360
_cell_length_b 4.643
_cell_length_c 12.314
_cell_angle_alpha 90.00
_cell_angle_beta 90.00
_cell_angle_gamma 90.00
_space_group_name_H-M_alt 'I m m 2'
_space_group_IT_number 44
_space_group_name_Hall 'I 2 -2'
loop_
_atom_site_label
_atom_site_type_symbol
_atom_site_fract_x
_atom_site_fract_y
_atom_site_fract_z
_atom_site_occupancy
Hg1 Hg 0.000 0.000 0.000 1
Te1 Te 0.000 0.000 0.723 1
As1 As 0.000 0.000 0.513 1
```



<ii>
First-principles (PBE) data for a relaxed structure of HgTeAs, as listed in Alexandria.

Calculated values
**V**: 28.82 A^3/atom
**Density of states at the Fermi level**: 1.0085 states/eV/atom

CIF file:
```
data_HgTeAs
_cell_length_a 7.019
_cell_length_b 7.019
_cell_length_c 7.019
_cell_angle_alpha 90.00
_cell_angle_beta 90.00
_cell_angle_gamma 90.00
_space_group_name_H-M_alt 'F -4 3 m'
_space_group_IT_number 216
_space_group_name_Hall 'F -4 2 3'
loop_
_atom_site_label
_atom_site_type_symbol
_atom_site_fract_x
_atom_site_fract_y
_atom_site_fract_z
_atom_site_occupancy
Hg1 Hg 0.000 0.000 0.000 1
Te1 Te 0.000 0.000 0.500 1
As1 As 0.250 0.250 0.750 1
```



Most stable structure, least stable structure: <i>, <ii>.



<i>
First-principles (PBE) data for a relaxed structure of Hg2TeAs, as listed in Alexandria.

Calculated values
**V**: 27.24 A^3/atom
**Density of states at the Fermi level**: 0.3399 states/eV/atom

CIF file:
```
data_Hg2TeAs
_cell_length_a 3.061
_cell_length_b 3.974
_cell_length_c 9.072
_cell_angle_alpha 90.00
_cell_angle_beta 99.02
_cell_angle_gamma 90.00
_space_group_name_H-M_alt 'P 1 m 1'
_space_group_IT_number 6
_space_group_name_Hall 'P -2y'
loop_
_atom_site_label
_atom_site_type_symbol
_atom_site_fract_x
_atom_site_fract_y
_atom_site_fract_z
_atom_site_occupancy
Hg1 Hg 0.000 0.000 0.000 1
Hg2 Hg 0.368 0.500 0.766 1
Te1 Te 0.220 0.000 0.471 1
As1 As 0.115 0.500 0.248 1
```



<ii>
First-principles (PBE) data for a relaxed structure of Hg2TeAs, as listed in Alexandria.

Calculated values
**V**: 29.05 A^3/atom
**Density of states at the Fermi level**: 0.2837 states/eV/atom

CIF file:
```
data_Hg2TeAs
_cell_length_a 5.742
_cell_length_b 13.608
_cell_length_c 2.974
_cell_angle_alpha 90.00
_cell_angle_beta 90.00
_cell_angle_gamma 90.00
_space_group_name_H-M_alt 'C m m m'
_space_group_IT_number 65
_space_group_name_Hall '-C 2 2'
loop_
_atom_site_label
_atom_site_type_symbol
_atom_site_fract_x
_atom_site_fract_y
_atom_site_fract_z
_atom_site_occupancy
Hg1 Hg 0.250 0.250 0.000 1
Te1 Te 0.000 0.000 0.500 1
As1 As 0.000 0.500 0.500 1
```



<iii>
First-principles (PBE) data for a relaxed structure of Hg2TeAs, as listed in Alexandria.

Calculated values
**V**: 28.41 A^3/atom
**Density of states at the Fermi level**: 0.7360 states/eV/atom

CIF file:
```
data_Hg2TeAs
_cell_length_a 4.120
_cell_length_b 4.120
_cell_length_c 6.696
_cell_angle_alpha 90.00
_cell_angle_beta 90.00
_cell_angle_gamma 90.00
_space_group_name_H-M_alt 'P 4/m m m'
_space_group_IT_number 123
_space_group_name_Hall '-P 4 2'
loop_
_atom_site_label
_atom_site_type_symbol
_atom_site_fract_x
_atom_site_fract_y
_atom_site_fract_z
_atom_site_occupancy
Hg1 Hg 0.000 0.500 0.000 1
Te1 Te 0.000 0.000 0.500 1
As1 As 0.500 0.500 0.500 1
```



Most stable structure, least stable structure: <i>, <ii>.



<i>
First-principles (PBE) data for a relaxed structure of Hg2TeAs, as listed in Alexandria.

Calculated values
**V**: 32.53 A^3/atom
**Density of states at the Fermi level**: 0.7138 states/eV/atom

CIF file:
```
data_Hg2TeAs
_cell_length_a 6.450
_cell_length_b 6.450
_cell_length_c 12.510
_cell_angle_alpha 90.00
_cell_angle_beta 90.00
_cell_angle_gamma 90.00
_space_group_name_H-M_alt 'I -4 2 d'
_space_group_IT_number 122
_space_group_name_Hall 'I -4 2bw'
loop_
_atom_site_label
_atom_site_type_symbol
_atom_site_fract_x
_atom_site_fract_y
_atom_site_fract_z
_atom_site_occupancy
Hg1 Hg 0.215 0.250 0.125 1
Te1 Te 0.000 0.000 0.500 1
As1 As 0.000 0.000 0.000 1
```



<ii>
First-principles (PBE) data for a relaxed structure of Hg2TeAs, as listed in Alexandria.

Calculated values
**V**: 27.56 A^3/atom
**Density of states at the Fermi level**: 0.5508 states/eV/atom

CIF file:
```
data_Hg2TeAs
_cell_length_a 2.883
_cell_length_b 6.330
_cell_length_c 6.042
_cell_angle_alpha 90.00
_cell_angle_beta 90.20
_cell_angle_gamma 90.00
_space_group_name_H-M_alt 'P 1 2/m 1'
_space_group_IT_number 10
_space_group_name_Hall '-P 2y'
loop_
_atom_site_label
_atom_site_type_symbol
_atom_site_fract_x
_atom_site_fract_y
_atom_site_fract_z
_atom_site_occupancy
Hg1 Hg 0.003 0.000 0.254 1
Te1 Te 0.000 0.500 0.000 1
As1 As 0.000 0.500 0.500 1
```



Most stable structure, least stable structure: <i>, <ii>.



<i>
First-principles (PBE) data for a relaxed structure of Hg2TeAs, as listed in Alexandria.

Calculated values
**V**: 28.32 A^3/atom
**Density of states at the Fermi level**: 0.5449 states/eV/atom

CIF file:
```
data_Hg2TeAs
_cell_length_a 3.939
_cell_length_b 4.168
_cell_length_c 13.799
_cell_angle_alpha 90.00
_cell_angle_beta 90.00
_cell_angle_gamma 90.00
_space_group_name_H-M_alt 'I m m m'
_space_group_IT_number 71
_space_group_name_Hall '-I 2 2'
loop_
_atom_site_label
_atom_site_type_symbol
_atom_site_fract_x
_atom_site_fract_y
_atom_site_fract_z
_atom_site_occupancy
Hg1 Hg 0.000 0.000 0.206 1
Te1 Te 0.000 0.500 0.000 1
As1 As 0.000 0.500 0.500 1
```



<ii>
First-principles (PBE) data for a relaxed structure of Hg2TeAs, as listed in Alexandria.

Calculated values
**V**: 29.74 A^3/atom
**Density of states at the Fermi level**: 0.2490 states/eV/atom

CIF file:
```
data_Hg2TeAs
_cell_length_a 3.694
_cell_length_b 3.694
_cell_length_c 8.716
_cell_angle_alpha 90.00
_cell_angle_beta 90.00
_cell_angle_gamma 90.00
_space_group_name_H-M_alt 'P 4 m m'
_space_group_IT_number 99
_space_group_name_Hall 'P 4 -2'
loop_
_atom_site_label
_atom_site_type_symbol
_atom_site_fract_x
_atom_site_fract_y
_atom_site_fract_z
_atom_site_occupancy
Hg1 Hg 0.000 0.000 0.000 1
Hg2 Hg 0.500 0.500 0.240 1
Te1 Te 0.000 0.000 0.575 1
As1 As 0.500 0.500 0.707 1
```



Most stable structure, least stable structure: <ii>, <i>.



<i>
First-principles (PBE) data for a relaxed structure of Hg2TeAs, as listed in Alexandria.

Calculated values
**V**: 25.04 A^3/atom
**Density of states at the Fermi level**: 0.6826 states/eV/atom

CIF file:
```
data_Hg2TeAs
_cell_length_a 4.845
_cell_length_b 4.845
_cell_length_c 4.267
_cell_angle_alpha 90.00
_cell_angle_beta 90.00
_cell_angle_gamma 90.00
_space_group_name_H-M_alt 'P 4/m m m'
_space_group_IT_number 123
_space_group_name_Hall '-P 4 2'
loop_
_atom_site_label
_atom_site_type_symbol
_atom_site_fract_x
_atom_site_fract_y
_atom_site_fract_z
_atom_site_occupancy
Hg1 Hg 0.000 0.500 0.000 1
Te1 Te 0.000 0.000 0.500 1
As1 As 0.500 0.500 0.500 1
```



<ii>
First-principles (PBE) data for a relaxed structure of Hg2TeAs, as listed in Alexandria.

Calculated values
**V**: 25.48 A^3/atom
**Density of states at the Fermi level**: 0.3635 states/eV/atom

CIF file:
```
data_Hg2TeAs
_cell_length_a 3.796
_cell_length_b 4.887
_cell_length_c 10.989
_cell_angle_alpha 90.00
_cell_angle_beta 90.00
_cell_angle_gamma 90.00
_space_group_name_H-M_alt 'C m m m'
_space_group_IT_number 65
_space_group_name_Hall '-C 2 2'
loop_
_atom_site_label
_atom_site_type_symbol
_atom_site_fract_x
_atom_site_fract_y
_atom_site_fract_z
_atom_site_occupancy
Hg1 Hg 0.000 0.000 0.223 1
Te1 Te 0.000 0.500 0.500 1
As1 As 0.000 0.500 0.000 1
```



Most stable structure, least stable structure: <ii>, <i>.



<i>
First-principles (PBE) data for a relaxed structure of Hg2TeAs, as listed in Alexandria.

Calculated values
**V**: 24.89 A^3/atom
**Density of states at the Fermi level**: 0.8002 states/eV/atom

CIF file:
```
data_Hg2TeAs
_cell_length_a 7.357
_cell_length_b 7.357
_cell_length_c 7.357
_cell_angle_alpha 90.00
_cell_angle_beta 90.00
_cell_angle_gamma 90.00
_space_group_name_H-M_alt 'F m -3 m'
_space_group_IT_number 225
_space_group_name_Hall '-F 4 2 3'
loop_
_atom_site_label
_atom_site_type_symbol
_atom_site_fract_x
_atom_site_fract_y
_atom_site_fract_z
_atom_site_occupancy
Hg1 Hg 0.250 0.250 0.250 1
Te1 Te 0.000 0.000 0.000 1
As1 As 0.000 0.000 0.500 1
```



<ii>
First-principles (PBE) data for a relaxed structure of Hg2TeAs, as listed in Alexandria.

Calculated values
**V**: 26.79 A^3/atom
**Density of states at the Fermi level**: 0.5078 states/eV/atom

CIF file:
```
data_Hg2TeAs
_cell_length_a 4.0131
_cell_length_b 4.0131
_cell_length_c 23.0454
_cell_angle_alpha 90.00
_cell_angle_beta 90.00
_cell_angle_gamma 120.00
_space_group_name_H-M_alt 'R 3 m'
_space_group_IT_number 160
_space_group_name_Hall 'R 3 -2"'
loop_
_atom_site_label
_atom_site_type_symbol
_atom_site_fract_x
_atom_site_fract_y
_atom_site_fract_z
_atom_site_occupancy
Hg1 Hg 0.0000 0.0000 0.0000 1
Hg2 Hg 0.0000 0.0000 0.2493 1
Te1 Te 0.0000 0.0000 0.4856 1
As1 As 0.0000 0.0000 0.7459 1
```



Most stable structure, least stable structure: <ii>, <i>.